First-principles (GGA-PBE) data for an optimized crystal structure of La7Si2Sn2, as listed in the Alexandria database.

Lattice parameters (Å, degrees): 7.279 7.279 7.119 90.00 90.00 106.08
Fractional positions:
1 La 0.000 0.000 0.000
2 La 0.000 0.500 0.280
3 La 0.000 0.500 0.720
4 La 0.500 0.000 0.280
5 La 0.500 0.000 0.720
6 La 0.500 0.500 0.241
7 La 0.500 0.500 0.759
8 Si 0.271 0.729 0.000
9 Si 0.729 0.271 0.000
10 Sn 0.172 0.172 0.500
11 Sn 0.828 0.828 0.500

Total magnetic moment ... 0.0 Bohr magnetons per cell
Final energy ... -5.30 eV per atom
N(E_F) ... 12.98 states/eV per cell
E_form (uncorrected) ... -0.45 eV/atom